V4InCl7: relaxed, PBE.

Unit cell a=16.265 b=5.882 c=6.434 alpha=90.00 beta=90.00 gamma=90.00
Sites, in units of the cell vectors:
V 0.139 0.214 0.000
V 0.248 0.247 0.608
V 0.252 0.753 0.108
V 0.361 0.786 0.500
V 0.639 0.786 0.500
V 0.748 0.753 0.108
V 0.752 0.247 0.608
V 0.861 0.214 0.000
In 0.000 0.650 0.502
In 0.500 0.350 0.002
Cl 0.000 0.354 0.116
Cl 0.104 0.184 0.638
Cl 0.111 0.845 0.132
Cl 0.248 0.354 0.232
Cl 0.252 0.646 0.732
Cl 0.389 0.155 0.632
Cl 0.396 0.816 0.138
Cl 0.500 0.646 0.616
Cl 0.604 0.816 0.138
Cl 0.611 0.155 0.632
Cl 0.748 0.646 0.732
Cl 0.752 0.354 0.232
Cl 0.889 0.845 0.132
Cl 0.896 0.184 0.638



VIn5Cl8: relaxed, PBE.

Unit cell a=9.109 b=9.109 c=9.109 alpha=106.21 beta=106.21 gamma=116.22
Sites, in units of the cell vectors:
V 0.000 0.000 0.000
In 0.170 0.160 0.558
In 0.389 0.830 0.990
In 0.601 0.611 0.442
In 0.750 0.250 0.500
In 0.840 0.399 0.010
Cl 0.048 0.839 0.131
Cl 0.083 0.952 0.791
Cl 0.153 0.444 0.775
Cl 0.161 0.292 0.209
Cl 0.556 0.331 0.710
Cl 0.622 0.847 0.290
Cl 0.669 0.378 0.225
Cl 0.708 0.917 0.869



V3In6Cl14: relaxed, PBE.

Unit cell a=11.546 b=11.546 c=6.376 alpha=90.00 beta=90.00 gamma=120.00
Sites, in units of the cell vectors:
V 0.000 0.000 0.000
V 0.333 0.667 0.159
V 0.667 0.333 0.671
In 0.114 0.338 0.740
In 0.224 0.886 0.740
In 0.338 0.228 0.233
In 0.662 0.776 0.740
In 0.772 0.110 0.233
In 0.890 0.662 0.233
Cl 0.067 0.206 0.213
Cl 0.127 0.593 0.032
Cl 0.139 0.933 0.213
Cl 0.206 0.136 0.784
Cl 0.333 0.667 0.509
Cl 0.407 0.534 0.032
Cl 0.466 0.873 0.032
Cl 0.528 0.128 0.548
Cl 0.600 0.472 0.548
Cl 0.667 0.333 0.021
Cl 0.794 0.861 0.213
Cl 0.864 0.070 0.784
Cl 0.872 0.400 0.548
Cl 0.930 0.794 0.784



VIn2Cl: relaxed, PBE.

Unit cell a=5.163 b=5.163 c=5.163 alpha=60.00 beta=60.00 gamma=60.00
Sites, in units of the cell vectors:
V 0.000 0.000 0.000
In 0.250 0.250 0.250
In 0.750 0.750 0.750
Cl 0.500 0.500 0.500

Output
The offset from the most stable computed form comes out at 0.2458 eV/atom.



VInCl2: relaxed, PBE.

Unit cell a=10.060 b=10.060 c=10.060 alpha=20.57 beta=20.57 gamma=20.57
Sites, in units of the cell vectors:
V 0.000 0.000 0.000
In 0.500 0.500 0.500
Cl 0.380 0.380 0.380
Cl 0.620 0.620 0.620

Output
The offset from the most stable computed form comes out at 0.0000 eV/atom.



VIn2Cl5: relaxed, PBE.

Unit cell a=7.166 b=7.166 c=7.166 alpha=118.64 beta=118.64 gamma=92.38
Sites, in units of the cell vectors:
V 0.000 0.000 0.000
In 0.217 0.717 0.500
In 0.717 0.217 0.500
Cl 0.271 0.271 0.447
Cl 0.271 0.825 0.000
Cl 0.777 0.777 0.000
Cl 0.825 0.271 0.000
Cl 0.825 0.825 0.553



Calculated formation energy from raw total energies in order - -0.618; -0.873; -0.989; 0.415; -0.665; -0.986 eV/atom